[1]
Compound: MnAl2Cu
Source: Alexandria
Functional: meta-GGA SCAN
Structure: PBEsol geometry

Geometry as POSCAR:
```
MnAl2Cu
1.0
5.885 0.000 0.000
0.000 5.885 0.000
0.000 0.000 5.885
Mn Al Cu
4 8 4
Cartesian
0.000 0.000 0.000
0.000 2.942 2.942
2.942 0.000 2.942
2.942 2.942 0.000
1.471 1.471 1.471
1.471 1.471 4.414
1.471 4.414 1.471
1.471 4.414 4.414
4.414 1.471 1.471
4.414 1.471 4.414
4.414 4.414 1.471
4.414 4.414 4.414
0.000 0.000 2.942
0.000 2.942 0.000
2.942 0.000 0.000
2.942 2.942 2.942
```

Summary:
As for the formation energy: -302 meV per atom. The symmetry is Fm-3m (225). As for the electronic total energy: -50.17 eV/f.u.

---

[2]
Compound: Mn2AlCu
Source: Alexandria
Functional: meta-GGA SCAN
Structure: PBEsol geometry

Geometry as POSCAR:
```
Mn2AlCu
1.0
2.574 0.000 0.000
-1.287 2.229 0.000
0.000 0.000 24.986
Mn Al Cu
6 3 3
Cartesian
0.000 0.000 6.248
0.000 0.000 18.738
0.000 1.486 10.409
0.000 1.486 22.905
1.287 0.743 2.081
1.287 0.743 14.576
0.000 0.000 0.000
0.000 1.486 16.657
1.287 0.743 8.329
0.000 0.000 12.493
0.000 1.486 4.164
1.287 0.743 20.821
```

Summary:
As for the formation energy: 42 meV per atom. The symmetry is R-3m (166). As for the electronic total energy: -59.29 eV/f.u.